Rb6Sb PBE optimized geometry; N(E_F) = 8.429 states/eV/f.u.; formation energy without anion corrections = 574 meV/atom; space-group type = No. 229
1.0
10.491 0.000 0.000
-3.497 9.891 0.000
-3.497 -4.945 8.566
Rb Sb
6 1
Direct
0.500 0.250 0.750
0.500 0.750 0.250
0.250 0.500 0.750
0.750 0.500 0.250
0.250 0.750 0.500
0.750 0.250 0.500
0.000 0.000 0.000